Computed, not measured: a relaxed SrHg2Ir crystal at the PBE-GGA level of DFT.

Summary:
- density of states at the Fermi level (states/eV/cell) = 6.64
- ΔH_f (0 K) (meV/atom) = 121

a = 4.7841 Å, b = 4.7841 Å, c = 19.3890 Å
α = 90.00°, β = 90.00°, γ = 90.00°
Closest atoms and distances in Å follow each position.
Space group I-42d (No. 122)
Asymmetric unit:
Sr 0.0000 0.0000 0.0000 (multiplicity 4)  4 Hg 3.18, 4 Ir 3.38
Hg 0.1508 0.2500 0.6250 (multiplicity 8)  2 Hg 2.79, 2 Ir 2.80
Ir 0.0000 0.0000 0.5000 (multiplicity 4)  4 Hg 2.80